1.
This record from the Alexandria database describes a geometry-optimized PmNd2ErTm5 structure. The functional is PBE-GGA.

Summary:
Space-group type: I4/mcm (140)
DFT formation energy (eV per atom): 0.268

Lattice parameters (Å, degrees): 9.823 9.823 9.823 127.68 127.68 77.14
Positions (direct):
Pm: 0.250 0.250 0.000
Pm: 0.750 0.750 0.000
Nd: 0.117 0.617 0.734
Nd: 0.383 0.117 0.500
Nd: 0.617 0.883 0.500
Nd: 0.883 0.383 0.266
Er: 0.250 0.750 0.500
Er: 0.750 0.250 0.500
Tm: 0.000 0.000 0.000
Tm: 0.073 0.150 0.500
Tm: 0.150 0.650 0.078
Tm: 0.350 0.427 0.500
Tm: 0.427 0.927 0.078
Tm: 0.500 0.500 0.000
Tm: 0.573 0.073 0.922
Tm: 0.650 0.573 0.500
Tm: 0.850 0.350 0.922
Tm: 0.927 0.850 0.500

***

2.
This record from the Alexandria database describes a geometry-optimized PmNdEr2Tm2 structure. The functional is PBE-GGA.

Summary:
Space-group type: Pnnm (58)
DFT formation energy (eV per atom): 0.286

Lattice parameters (Å, degrees): 6.589 17.608 3.390 90.00 90.00 90.00
Positions (direct):
Pm: 0.000 0.000 0.000
Pm: 0.500 0.500 0.500
Nd: 0.000 0.500 0.000
Nd: 0.500 0.000 0.500
Er: 0.229 0.348 0.500
Er: 0.271 0.848 0.000
Er: 0.729 0.152 0.000
Er: 0.771 0.652 0.500
Tm: 0.230 0.182 0.000
Tm: 0.270 0.682 0.500
Tm: 0.730 0.318 0.500
Tm: 0.770 0.818 0.000

***

3.
This record from the Alexandria database describes a geometry-optimized Pm5NdEr2Tm structure. The functional is PBE-GGA.

Summary:
Space-group type: Cmc2_1 (36)
DFT formation energy (eV per atom): 0.151

Lattice parameters (Å, degrees): 10.501 10.501 10.622 90.00 90.00 148.66
Positions (direct):
Pm: 0.017 0.983 0.500
Pm: 0.280 0.720 0.795
Pm: 0.298 0.702 0.188
Pm: 0.385 0.615 0.502
Pm: 0.481 0.519 0.221
Pm: 0.519 0.481 0.721
Pm: 0.615 0.385 0.002
Pm: 0.702 0.298 0.688
Pm: 0.720 0.280 0.295
Pm: 0.983 0.017 0.000
Nd: 0.413 0.587 0.935
Nd: 0.587 0.413 0.435
Er: 0.113 0.887 0.215
Er: 0.115 0.885 0.796
Er: 0.885 0.115 0.296
Er: 0.887 0.113 0.715
Tm: 0.199 0.801 0.492
Tm: 0.801 0.199 0.992

***

4.
This record from the Alexandria database describes a geometry-optimized Pm4Nd2ErTm structure. The functional is PBE-GGA.

Summary:
Space-group type: C2/c (15)
DFT formation energy (eV per atom): 0.390

Lattice parameters (Å, degrees): 9.576 9.576 6.887 110.93 110.93 88.16
Positions (direct):
Pm: 0.239 0.751 0.995
Pm: 0.243 0.249 0.470
Pm: 0.249 0.243 0.970
Pm: 0.249 0.761 0.505
Pm: 0.751 0.239 0.495
Pm: 0.751 0.757 0.030
Pm: 0.757 0.751 0.530
Pm: 0.761 0.249 0.005
Nd: 0.000 0.500 0.000
Nd: 0.500 0.000 0.500
Nd: 0.500 0.500 0.000
Nd: 0.500 0.500 0.500
Er: 0.000 0.500 0.500
Er: 0.500 0.000 0.000
Tm: 0.000 0.000 0.000
Tm: 0.000 0.000 0.500

***

5.
This record from the Alexandria database describes a geometry-optimized Pm2NdEr2Tm structure. The functional is PBE-GGA.

Summary:
Space-group type: Pmma (51)
DFT formation energy (eV per atom): 0.072

Lattice parameters (Å, degrees): 6.969 5.662 9.844 90.00 90.00 90.00
Positions (direct):
Pm: 0.000 0.000 0.000
Pm: 0.250 0.500 0.168
Pm: 0.500 0.000 0.000
Pm: 0.750 0.500 0.832
Nd: 0.000 0.500 0.500
Nd: 0.500 0.500 0.500
Er: 0.250 0.000 0.332
Er: 0.250 0.500 0.835
Er: 0.750 0.000 0.668
Er: 0.750 0.500 0.165
Tm: 0.250 0.000 0.665
Tm: 0.750 0.000 0.335

***

6.
This record from the Alexandria database describes a geometry-optimized Pm2NdEr3Tm6 structure. The functional is PBE-GGA.

Summary:
Space-group type: C2/m (12)
DFT formation energy (eV per atom): 0.024

Lattice parameters (Å, degrees): 6.129 6.129 11.668 95.02 95.02 119.95
Positions (direct):
Pm: 0.167 0.833 0.000
Pm: 0.833 0.167 0.000
Nd: 0.500 0.500 0.000
Er: 0.000 0.000 0.500
Er: 0.333 0.667 0.500
Er: 0.667 0.333 0.500
Tm: 0.081 0.415 0.746
Tm: 0.252 0.252 0.254
Tm: 0.415 0.081 0.746
Tm: 0.585 0.919 0.254
Tm: 0.748 0.748 0.746
Tm: 0.919 0.585 0.254

***

7.
This record from the Alexandria database describes a geometry-optimized Pm2Nd2ErTm structure. The functional is PBE-GGA.

Summary:
Space-group type: Pmma (51)
DFT formation energy (eV per atom): 0.061

Lattice parameters (Å, degrees): 7.065 5.691 9.863 90.00 90.00 90.00
Positions (direct):
Pm: 0.250 0.000 0.163
Pm: 0.250 0.500 0.669
Pm: 0.750 0.000 0.837
Pm: 0.750 0.500 0.331
Nd: 0.000 0.500 0.000
Nd: 0.250 0.000 0.822
Nd: 0.500 0.500 0.000
Nd: 0.750 0.000 0.178
Er: 0.250 0.500 0.342
Er: 0.750 0.500 0.658
Tm: 0.000 0.000 0.500
Tm: 0.500 0.000 0.500

***

8.
This record from the Alexandria database describes a geometry-optimized Pm6NdErTm2 structure. The functional is PBE-GGA.

Summary:
Space-group type: C2/c (15)
DFT formation energy (eV per atom): 0.117

Lattice parameters (Å, degrees): 8.889 8.889 9.669 94.07 94.07 117.43
Positions (direct):
Pm: 0.017 0.566 0.184
Pm: 0.112 0.760 0.555
Pm: 0.240 0.888 0.945
Pm: 0.294 0.509 0.380
Pm: 0.434 0.983 0.316
Pm: 0.491 0.706 0.120
Pm: 0.509 0.294 0.880
Pm: 0.566 0.017 0.684
Pm: 0.706 0.491 0.620
Pm: 0.760 0.112 0.055
Pm: 0.888 0.240 0.445
Pm: 0.983 0.434 0.816
Nd: 0.407 0.593 0.750
Nd: 0.593 0.407 0.250
Er: 0.029 0.971 0.250
Er: 0.971 0.029 0.750
Tm: 0.196 0.293 0.046
Tm: 0.293 0.196 0.546
Tm: 0.707 0.804 0.454
Tm: 0.804 0.707 0.954

***

9.
This record from the Alexandria database describes a geometry-optimized Pm2Nd6Y3Er structure. The functional is PBE-GGA.

Summary:
Space-group type: C2/m (12)
DFT formation energy (eV per atom): 0.011

Lattice parameters (Å, degrees): 6.310 6.310 11.974 95.03 95.03 120.00
Positions (direct):
Pm: 0.167 0.833 0.000
Pm: 0.833 0.167 0.000
Nd: 0.084 0.416 0.749
Nd: 0.251 0.251 0.251
Nd: 0.416 0.084 0.749
Nd: 0.584 0.916 0.251
Nd: 0.749 0.749 0.749
Nd: 0.916 0.584 0.251
Y: 0.000 0.000 0.500
Y: 0.334 0.666 0.500
Y: 0.666 0.334 0.500
Er: 0.500 0.500 0.000

***

10.
This record from the Alexandria database describes a geometry-optimized PmNd6YEr2 structure. The functional is PBE-GGA.

Summary:
Space-group type: C2/c (15)
DFT formation energy (eV per atom): 0.113

Lattice parameters (Å, degrees): 8.974 8.974 9.730 93.99 93.99 117.83
Positions (direct):
Pm: 0.092 0.908 0.750
Pm: 0.908 0.092 0.250
Nd: 0.007 0.794 0.380
Nd: 0.064 0.515 0.185
Nd: 0.206 0.993 0.120
Nd: 0.260 0.614 0.554
Nd: 0.386 0.740 0.946
Nd: 0.485 0.936 0.315
Nd: 0.515 0.064 0.685
Nd: 0.614 0.260 0.054
Nd: 0.740 0.386 0.446
Nd: 0.794 0.007 0.880
Nd: 0.936 0.485 0.815
Nd: 0.993 0.206 0.620
Y: 0.472 0.528 0.250
Y: 0.528 0.472 0.750
Er: 0.204 0.303 0.954
Er: 0.303 0.204 0.454
Er: 0.697 0.796 0.546
Er: 0.796 0.697 0.046